No. 1
# NaGaAs2Se, optimized geometry, DFT PBE
# - Energy above the lowest structure with this stoichiometry: 0 meV per atom
# - E_form (uncorrected): 21.0 kJ/mol of atoms
# - Size of the total moment: 0.7 μB/cell
data_NaGaAs2Se
_cell_length_a 4.9499
_cell_length_b 4.9499
_cell_length_c 5.3044
_cell_angle_alpha 90.00
_cell_angle_beta 90.00
_cell_angle_gamma 90.00
_symmetry_space_group_name_H-M 'P 4/m m m'
_symmetry_Int_Tables_number 123
_symmetry_space_group_name_Hall '-P 4 2'
loop_
_atom_site_label
_atom_site_fract_x
_atom_site_fract_y
_atom_site_fract_z
_atom_site_occupancy
Na1 0.0000 0.0000 0.0000 1
Ga1 0.5000 0.5000 0.5000 1
As1 0.0000 0.5000 0.5000 1
Se1 0.5000 0.5000 0.0000 1

No. 2
# Y2Ni2As, optimized geometry, DFT PBE
# - Size of the total moment: 0.0 μB/cell
# - Uncorrected energy: -6.46 eV/atom
data_Y2Ni2As
_cell_length_a 6.9684
_cell_length_b 6.9684
_cell_length_c 3.8682
_cell_angle_alpha 90.00
_cell_angle_beta 90.00
_cell_angle_gamma 90.00
_symmetry_space_group_name_H-M 'P 4/m b m'
_symmetry_Int_Tables_number 127
_symmetry_space_group_name_Hall '-P 4 2ab'
loop_
_atom_site_label
_atom_site_fract_x
_atom_site_fract_y
_atom_site_fract_z
_atom_site_occupancy
Y1 0.1814 0.3186 0.0000 1
Ni1 0.1204 0.6204 0.5000 1
As1 0.0000 0.0000 0.5000 1

No. 3
# HoLuAgRu, optimized geometry, DFT PBE
# - Size of the total moment: 0.0 μB/cell
# - Uncorrected energy: -5.71 eV/atom
data_HoLuAgRu
_cell_length_a 6.9282
_cell_length_b 6.9282
_cell_length_c 6.9282
_cell_angle_alpha 90.00
_cell_angle_beta 90.00
_cell_angle_gamma 90.00
_symmetry_space_group_name_H-M 'F -4 3 m'
_symmetry_Int_Tables_number 216
_symmetry_space_group_name_Hall 'F -4 2 3'
loop_
_atom_site_label
_atom_site_fract_x
_atom_site_fract_y
_atom_site_fract_z
_atom_site_occupancy
Ho1 0.0000 0.0000 0.0000 1
Lu1 0.0000 0.0000 0.5000 1
Ag1 0.2500 0.2500 0.7500 1
Ru1 0.2500 0.2500 0.2500 1

No. 4
# YMoPt2, optimized geometry, DFT PBE
# - Energy above the lowest structure with this stoichiometry: 88 meV per atom
# - Size of the total moment: 1.4 μB/cell
data_YMoPt2
_cell_length_a 4.2174
_cell_length_b 4.2174
_cell_length_c 4.0400
_cell_angle_alpha 90.00
_cell_angle_beta 90.00
_cell_angle_gamma 90.00
_symmetry_space_group_name_H-M 'P 4/m m m'
_symmetry_Int_Tables_number 123
_symmetry_space_group_name_Hall '-P 4 2'
loop_
_atom_site_label
_atom_site_fract_x
_atom_site_fract_y
_atom_site_fract_z
_atom_site_occupancy
Y1 0.0000 0.0000 0.0000 1
Mo1 0.5000 0.5000 0.0000 1
Pt1 0.0000 0.5000 0.5000 1

No. 5
# CsRu2I, optimized geometry, DFT PBE
# - Energy above the lowest structure with this stoichiometry: 0 meV per atom
# - E_form (uncorrected): 131.1 kJ/mol of atoms
# - Size of the total moment: 0.0 μB/cell
data_CsRu2I
_cell_length_a 8.0045
_cell_length_b 8.0045
_cell_length_c 7.3781
_cell_angle_alpha 90.00
_cell_angle_beta 90.00
_cell_angle_gamma 90.00
_symmetry_space_group_name_H-M 'I -4 2 d'
_symmetry_Int_Tables_number 122
_symmetry_space_group_name_Hall 'I -4 2bw'
loop_
_atom_site_label
_atom_site_fract_x
_atom_site_fract_y
_atom_site_fract_z
_atom_site_occupancy
Cs1 0.0000 0.0000 0.0000 1
Ru1 0.1417 0.2500 0.6250 1
I1 0.0000 0.0000 0.5000 1

No. 6
# NaCdB3, optimized geometry, DFT PBE
# - Energy above the lowest structure with this stoichiometry: 556 meV per atom
# - Size of the total moment: 0.0 μB/cell
data_NaCdB3
_cell_length_a 4.4453
_cell_length_b 4.4453
_cell_length_c 4.4453
_cell_angle_alpha 90.00
_cell_angle_beta 90.00
_cell_angle_gamma 90.00
_symmetry_space_group_name_H-M 'P m -3 m'
_symmetry_Int_Tables_number 221
_symmetry_space_group_name_Hall '-P 4 2 3'
loop_
_atom_site_label
_atom_site_fract_x
_atom_site_fract_y
_atom_site_fract_z
_atom_site_occupancy
Na1 0.0000 0.0000 0.0000 1
Cd1 0.5000 0.5000 0.5000 1
B1 0.0000 0.0000 0.5000 1